Compound: LaZrSe2
Source: the Alexandria database
Functional: PBE-GGA
Structure: relaxed

a b c (Å): 5.120 5.120 5.120
angles (deg): 60.00 60.00 60.00
Fractional positions:
La1 0.000 0.000 0.000
Zr1 0.750 0.750 0.750
Se1 0.250 0.250 0.250
Se2 0.500 0.500 0.500

Magnetization = 2.40 μB/f.u.
Space-group type = F-43m (216)
D(E_F) = 2.6 states/eV/f.u.
Raw formation energy = -8.0 kcal/mol of atoms
Distance to the lowest polymorph of the same formula = 1.1641 eV/atom